[1]
A plane-wave DFT calculation with PBE-GGA was carried out for a relaxed Ba3UGa2O8 crystal.

Calculated values
- Energy relative to the elements, uncorrected: -2.514 eV per atom
- E_tot: -97.97 eV per cell
- Volume: 241.5 Å³/cell

```
data_Ba3UGa2O8
_chemical_formula_sum 'Ba3 U1 Ga2 O8'
_space_group_name_H-M_alt 'P -3 m 1'
_space_group_IT_number 164
_space_group_name_Hall '-P 3 2"'
_cell_length_a 6.0322
_cell_length_b 6.0322
_cell_length_c 7.6628
_cell_angle_alpha 90.00
_cell_angle_beta 90.00
_cell_angle_gamma 120.00
loop_
_atom_site_label
_atom_site_type_symbol
_atom_site_fract_x
_atom_site_fract_y
_atom_site_fract_z
Ba1 Ba 0.0000 0.0000 0.0000
Ba2 Ba 0.3333 0.6667 0.6663
U1 U 0.0000 0.0000 0.5000
Ga1 Ga 0.3333 0.6667 0.2136
O1 O 0.1696 0.3393 0.3220
O2 O 0.3333 0.6667 0.9807
```


[2]
A plane-wave DFT calculation with PBE-GGA was carried out for a relaxed Ba2Mg3In5 crystal.

Calculated values
- Polymorph energy (0 for the lowest one): 0 meV/atom
- ΔH_f (0 K): -0.318 eV per atom
- E_tot: -101.99 eV per cell
- Volume: 1208.3 Å³/cell

```
data_Ba2Mg3In5
_chemical_formula_sum 'Ba8 Mg12 In20'
_space_group_name_H-M_alt 'I b a m'
_space_group_IT_number 72
_space_group_name_Hall '-I 2 2c'
_cell_length_a 12.398
_cell_length_b 13.982
_cell_length_c 6.970
_cell_angle_alpha 90.00
_cell_angle_beta 90.00
_cell_angle_gamma 90.00
loop_
_atom_site_label
_atom_site_type_symbol
_atom_site_fract_x
_atom_site_fract_y
_atom_site_fract_z
Ba1 Ba 0.243 0.127 0.000
Mg1 Mg 0.000 0.500 0.250
Mg2 Mg 0.126 0.128 0.500
In1 In 0.000 0.000 0.250
In2 In 0.000 0.261 0.250
In3 In 0.143 0.380 0.000
```